*a*
Below is crystalline Tl2AgSnBr6 at its relaxed geometry, with properties calculated at the PBE level.

Results
space-group type	No. 87

Lattice parameters (Å, degrees): 7.797 7.797 7.797 121.13 121.13 88.06
Element x y z (fractional)
Tl (0.250, 0.750, 0.500)
Tl (0.750, 0.250, 0.500)
Ag (0.000, 0.000, 0.000)
Sn (0.500, 0.500, 0.000)
Br (0.187, 0.690, 0.876)
Br (0.249, 0.249, 0.000)
Br (0.310, 0.187, 0.497)
Br (0.690, 0.813, 0.503)
Br (0.751, 0.751, 0.000)
Br (0.813, 0.310, 0.124)

*b*
Below is crystalline Tl2AgSnBr6 at its relaxed geometry, with properties calculated at the PBE level.

Results
space-group type	No. 14

Lattice parameters (Å, degrees): 7.591 7.838 13.299 90.00 124.73 90.00
Element x y z (fractional)
Tl (0.228, 0.079, 0.250)
Tl (0.228, 0.421, 0.750)
Tl (0.772, 0.579, 0.250)
Tl (0.772, 0.921, 0.750)
Ag (0.000, 0.000, 0.500)
Ag (0.000, 0.500, 0.000)
Sn (0.500, 0.000, 0.000)
Sn (0.500, 0.500, 0.500)
Br (0.154, 0.200, 0.956)
Br (0.154, 0.300, 0.456)
Br (0.269, 0.698, 0.963)
Br (0.269, 0.802, 0.463)
Br (0.332, 0.005, 0.749)
Br (0.332, 0.495, 0.249)
Br (0.668, 0.505, 0.751)
Br (0.668, 0.995, 0.251)
Br (0.731, 0.198, 0.537)
Br (0.731, 0.302, 0.037)
Br (0.846, 0.700, 0.544)
Br (0.846, 0.800, 0.044)

Stability order, top to bottom: *b*, *a*

*a*
Below is crystalline AgC at its relaxed geometry, with properties calculated at the PBE level.

Results
space-group type	No. 194

Lattice parameters (Å, degrees): 3.218 3.218 5.617 90.00 90.00 120.00
Element x y z (fractional)
Ag (0.000, 0.000, 0.000)
Ag (0.000, 0.000, 0.500)
C (0.333, 0.667, 0.250)
C (0.667, 0.333, 0.750)

*b*
Below is crystalline AgC at its relaxed geometry, with properties calculated at the PBE level.

Results
space-group type	No. 216

Lattice parameters (Å, degrees): 4.928 4.928 4.928 90.00 90.00 90.00
Element x y z (fractional)
Ag (0.000, 0.000, 0.000)
Ag (0.000, 0.500, 0.500)
Ag (0.500, 0.000, 0.500)
Ag (0.500, 0.500, 0.000)
C (0.250, 0.250, 0.750)
C (0.250, 0.750, 0.250)
C (0.750, 0.250, 0.250)
C (0.750, 0.750, 0.750)

Stability order, top to bottom: *a*, *b*

*a*
Below is crystalline AgC at its relaxed geometry, with properties calculated at the PBE level.

Results
space-group type	No. 225

Lattice parameters (Å, degrees): 4.653 4.653 4.653 90.00 90.00 90.00
Element x y z (fractional)
Ag (0.000, 0.000, 0.000)
Ag (0.000, 0.500, 0.500)
Ag (0.500, 0.000, 0.500)
Ag (0.500, 0.500, 0.000)
C (0.000, 0.000, 0.500)
C (0.000, 0.500, 0.000)
C (0.500, 0.000, 0.000)
C (0.500, 0.500, 0.500)

*b*
Below is crystalline AgC at its relaxed geometry, with properties calculated at the PBE level.

Results
space-group type	No. 194

Lattice parameters (Å, degrees): 5.209 5.209 2.617 90.00 90.00 120.00
Element x y z (fractional)
Ag (0.333, 0.667, 0.250)
Ag (0.667, 0.333, 0.750)
C (0.000, 0.000, 0.000)
C (0.000, 0.000, 0.500)

*c*
Below is crystalline AgC at its relaxed geometry, with properties calculated at the PBE level.

Results
space-group type	No. 187

Lattice parameters (Å, degrees): 3.037 3.037 3.157 90.00 90.00 120.00
Element x y z (fractional)
Ag (0.000, 0.000, 0.000)
C (0.667, 0.333, 0.500)

Stability order, top to bottom: *b*, *a*, *c*

*a*
Below is crystalline KAgCO3 at its relaxed geometry, with properties calculated at the PBE level.

Results
space-group type	No. 73

Lattice parameters (Å, degrees): 10.912 10.912 10.912 149.75 149.21 43.70
Element x y z (fractional)
K (0.069, 0.319, 0.750)
K (0.431, 0.181, 0.250)
K (0.569, 0.819, 0.750)
K (0.931, 0.681, 0.250)
Ag (0.140, 0.250, 0.390)
Ag (0.360, 0.750, 0.110)
Ag (0.640, 0.250, 0.890)
Ag (0.860, 0.750, 0.610)
C (0.125, 0.875, 0.250)
C (0.375, 0.625, 0.750)
C (0.625, 0.375, 0.250)
C (0.875, 0.125, 0.750)
O (0.036, 0.748, 0.971)
O (0.061, 0.811, 0.250)
O (0.223, 0.752, 0.789)
O (0.277, 0.065, 0.529)
O (0.439, 0.689, 0.750)
O (0.464, 0.435, 0.711)
O (0.536, 0.565, 0.289)
O (0.561, 0.311, 0.250)
O (0.723, 0.935, 0.471)
O (0.777, 0.248, 0.211)
O (0.939, 0.189, 0.750)
O (0.964, 0.252, 0.029)

*b*
Below is crystalline KAgCO3 at its relaxed geometry, with properties calculated at the PBE level.

Results
space-group type	No. 54

Lattice parameters (Å, degrees): 5.670 10.270 5.853 90.00 90.00 90.00
Element x y z (fractional)
K (0.000, 0.137, 0.250)
K (0.000, 0.863, 0.750)
K (0.500, 0.137, 0.750)
K (0.500, 0.863, 0.250)
Ag (0.250, 0.500, 0.132)
Ag (0.250, 0.500, 0.632)
Ag (0.750, 0.500, 0.368)
Ag (0.750, 0.500, 0.868)
C (0.000, 0.243, 0.750)
C (0.000, 0.757, 0.250)
C (0.500, 0.243, 0.250)
C (0.500, 0.757, 0.750)
O (0.000, 0.118, 0.750)
O (0.000, 0.882, 0.250)
O (0.141, 0.304, 0.610)
O (0.141, 0.696, 0.110)
O (0.359, 0.304, 0.110)
O (0.359, 0.696, 0.610)
O (0.500, 0.118, 0.250)
O (0.500, 0.882, 0.750)
O (0.641, 0.304, 0.390)
O (0.641, 0.696, 0.890)
O (0.859, 0.304, 0.890)
O (0.859, 0.696, 0.390)

Stability order, top to bottom: *b*, *a*

*a*
Below is crystalline CdAg7 at its relaxed geometry, with properties calculated at the PBE level.

Results
space-group type	No. 59

Lattice parameters (Å, degrees): 2.903 4.011 32.303 90.00 90.00 90.00
Element x y z (fractional)
Cd (0.250, 0.250, 0.145)
Cd (0.750, 0.750, 0.855)
Ag (0.250, 0.250, 0.242)
Ag (0.250, 0.250, 0.335)
Ag (0.250, 0.250, 0.429)
Ag (0.250, 0.250, 0.524)
Ag (0.250, 0.250, 0.618)
Ag (0.250, 0.250, 0.712)
Ag (0.250, 0.250, 0.806)
Ag (0.750, 0.750, 0.194)
Ag (0.750, 0.750, 0.288)
Ag (0.750, 0.750, 0.382)
Ag (0.750, 0.750, 0.476)
Ag (0.750, 0.750, 0.571)
Ag (0.750, 0.750, 0.665)
Ag (0.750, 0.750, 0.758)

*b*
Below is crystalline CdAg7 at its relaxed geometry, with properties calculated at the PBE level.

Results
space-group type	No. 129

Lattice parameters (Å, degrees): 2.926 2.926 45.408 90.00 90.00 90.00
Element x y z (fractional)
Cd (0.250, 0.250, 0.150)
Cd (0.750, 0.750, 0.850)
Ag (0.250, 0.250, 0.248)
Ag (0.250, 0.250, 0.340)
Ag (0.250, 0.250, 0.432)
Ag (0.250, 0.250, 0.523)
Ag (0.250, 0.250, 0.614)
Ag (0.250, 0.250, 0.706)
Ag (0.250, 0.250, 0.799)
Ag (0.750, 0.750, 0.201)
Ag (0.750, 0.750, 0.294)
Ag (0.750, 0.750, 0.386)
Ag (0.750, 0.750, 0.477)
Ag (0.750, 0.750, 0.568)
Ag (0.750, 0.750, 0.660)
Ag (0.750, 0.750, 0.752)

Stability order, top to bottom: *b*, *a*

*a*
Below is crystalline Cd2Ag at its relaxed geometry, with properties calculated at the PBE level.

Results
space-group type	No. 227

Lattice parameters (Å, degrees): 5.585 5.585 5.585 60.00 60.00 60.00
Element x y z (fractional)
Cd (0.000, 0.000, 0.000)
Cd (0.000, 0.000, 0.500)
Cd (0.000, 0.500, 0.000)
Cd (0.500, 0.000, 0.000)
Ag (0.375, 0.375, 0.375)
Ag (0.625, 0.625, 0.625)

*b*
Below is crystalline Cd2Ag at its relaxed geometry, with properties calculated at the PBE level.

Results
space-group type	No. 189

Lattice parameters (Å, degrees): 5.330 5.330 4.820 90.00 90.00 120.00
Element x y z (fractional)
Cd (0.000, 0.000, 0.000)
Cd (0.000, 0.339, 0.500)
Cd (0.339, 0.000, 0.500)
Cd (0.661, 0.661, 0.500)
Ag (0.333, 0.667, 0.000)
Ag (0.667, 0.333, 0.000)

*c*
Below is crystalline Cd2Ag at its relaxed geometry, with properties calculated at the PBE level.

Results
space-group type	No. 62

Lattice parameters (Å, degrees): 5.501 4.774 9.202 90.00 90.00 90.00
Element x y z (fractional)
Cd (0.134, 0.250, 0.173)
Cd (0.169, 0.250, 0.513)
Cd (0.331, 0.750, 0.013)
Cd (0.366, 0.750, 0.673)
Cd (0.634, 0.250, 0.327)
Cd (0.669, 0.250, 0.987)
Cd (0.831, 0.750, 0.487)
Cd (0.866, 0.750, 0.827)
Ag (0.188, 0.250, 0.836)
Ag (0.312, 0.750, 0.336)
Ag (0.688, 0.250, 0.664)
Ag (0.812, 0.750, 0.164)

Stability order, top to bottom: *c*, *b*, *a*